# 1
A relaxed structure of SrIn2Rh, computed with GGA-PBEsol.

Calculated values
electronic total energy = -31.38 eV per cell
total magnetization = 0.00 Bohr magnetons per cell
energy relative to the elements = 63 meV per atom

The structure in CIF format:
```
data_SrIn2Rh
_chemical_formula_sum 'Sr2 In4 Rh2'
_cell_length_a 5.917
_cell_length_b 9.425
_cell_length_c 3.231
_cell_angle_alpha 90.00
_cell_angle_beta 93.94
_cell_angle_gamma 90.00
_symmetry_space_group_name_H-M 'C 1 2/m 1'
_symmetry_Int_Tables_number 12
_symmetry_space_group_name_Hall '-C 2y'
loop_
_atom_site_label
_atom_site_fract_x
_atom_site_fract_y
_atom_site_fract_z
Sr1 0.000 0.000 0.000
In1 0.250 0.250 0.500
Rh1 0.000 0.500 0.000
```

---

# 2
A relaxed structure of Sr2ZrZn, computed with GGA-PBEsol.

Calculated values
electronic total energy = -25.15 eV per cell
total magnetization = 0.00 Bohr magnetons per cell
energy relative to the elements = 444 meV per atom

The structure in CIF format:
```
data_Sr2ZrZn
_chemical_formula_sum 'Sr4 Zr2 Zn2'
_cell_length_a 6.884
_cell_length_b 9.587
_cell_length_c 3.506
_cell_angle_alpha 90.00
_cell_angle_beta 90.00
_cell_angle_gamma 90.00
_symmetry_space_group_name_H-M 'C m m m'
_symmetry_Int_Tables_number 65
_symmetry_space_group_name_Hall '-C 2 2'
loop_
_atom_site_label
_atom_site_fract_x
_atom_site_fract_y
_atom_site_fract_z
Sr1 0.250 0.250 0.000
Zr1 0.000 0.000 0.500
Zn1 0.000 0.500 0.500
```

---

# 3
A relaxed structure of CeAl2Ag3, computed with GGA-PBEsol.

Calculated values
electronic total energy = -52.63 eV per cell
total magnetization = 1.49 Bohr magnetons per cell
energy relative to the elements = -267 meV per atom

The structure in CIF format:
```
data_CeAl2Ag3
_chemical_formula_sum 'Ce2 Al4 Ag6'
_cell_length_a 5.403
_cell_length_b 9.460
_cell_length_c 4.449
_cell_angle_alpha 90.00
_cell_angle_beta 90.00
_cell_angle_gamma 90.00
_symmetry_space_group_name_H-M 'C m m m'
_symmetry_Int_Tables_number 65
_symmetry_space_group_name_Hall '-C 2 2'
loop_
_atom_site_label
_atom_site_fract_x
_atom_site_fract_y
_atom_site_fract_z
Ce1 0.000 0.000 0.000
Al1 0.250 0.250 0.500
Ag1 0.000 0.325 0.000
Ag2 0.000 0.500 0.500
```

---

# 4
A relaxed structure of MgFeIr, computed with GGA-PBEsol.

Calculated values
electronic total energy = -41.05 eV per cell
total magnetization = 6.03 Bohr magnetons per cell
energy relative to the elements = -7 meV per atom

The structure in CIF format:
```
data_MgFeIr
_chemical_formula_sum 'Mg2 Fe2 Ir2'
_cell_length_a 2.988
_cell_length_b 2.988
_cell_length_c 9.572
_cell_angle_alpha 90.00
_cell_angle_beta 90.00
_cell_angle_gamma 90.00
_symmetry_space_group_name_H-M 'I 4 m m'
_symmetry_Int_Tables_number 107
_symmetry_space_group_name_Hall 'I 4 -2'
loop_
_atom_site_label
_atom_site_fract_x
_atom_site_fract_y
_atom_site_fract_z
Mg1 0.000 0.000 0.000
Fe1 0.000 0.000 0.319
Ir1 0.000 0.000 0.681
```

---

# 5
A relaxed structure of Li2FeO2F, computed with GGA-PBEsol.

Calculated values
electronic total energy = -75.28 eV per cell
total magnetization = 2.00 Bohr magnetons per cell
excess energy over the best structure of this formula in the dataset = 0.0 kJ per mole of atoms
ΔE_f (raw) = -2.0531 eV/atom

The structure in CIF format:
```
data_Li2FeO2F
_chemical_formula_sum 'Li4 Fe2 O4 F2'
_cell_length_a 2.8027
_cell_length_b 2.8027
_cell_length_c 13.9571
_cell_angle_alpha 90.00
_cell_angle_beta 90.00
_cell_angle_gamma 120.00
_symmetry_space_group_name_H-M 'P -3 m 1'
_symmetry_Int_Tables_number 164
_symmetry_space_group_name_Hall '-P 3 2"'
loop_
_atom_site_label
_atom_site_fract_x
_atom_site_fract_y
_atom_site_fract_z
Li1 0.0000 0.0000 0.0000
Li2 0.0000 0.0000 0.5000
Li3 0.3333 0.6667 0.3345
Fe1 0.3333 0.6667 0.8330
O1 0.0000 0.0000 0.2414
O2 0.3333 0.6667 0.0926
F1 0.3333 0.6667 0.5829
```

---

# 6
A relaxed structure of CdNiW2, computed with GGA-PBEsol.

Calculated values
electronic total energy = -33.13 eV per cell
total magnetization = 0.00 Bohr magnetons per cell
energy relative to the elements = 459 meV per atom

The structure in CIF format:
```
data_CdNiW2
_chemical_formula_sum 'Cd1 Ni1 W2'
_cell_length_a 3.435
_cell_length_b 3.976
_cell_length_c 4.400
_cell_angle_alpha 90.00
_cell_angle_beta 90.00
_cell_angle_gamma 90.00
_symmetry_space_group_name_H-M 'P m m m'
_symmetry_Int_Tables_number 47
_symmetry_space_group_name_Hall '-P 2 2'
loop_
_atom_site_label
_atom_site_fract_x
_atom_site_fract_y
_atom_site_fract_z
Cd1 0.000 0.000 0.000
Ni1 0.500 0.500 0.000
W1 0.000 0.500 0.500
W2 0.500 0.000 0.500
```

---

# 7
A relaxed structure of ScRe2PtBr, computed with GGA-PBEsol.

Calculated values
electronic total energy = -34.46 eV per cell
total magnetization = 0.00 Bohr magnetons per cell
ΔE_f (raw) = 1.5290 eV/atom

The structure in CIF format:
```
data_ScRe2PtBr
_chemical_formula_sum 'Sc1 Re2 Pt1 Br1'
_cell_length_a 4.517
_cell_length_b 4.517
_cell_length_c 4.689
_cell_angle_alpha 90.00
_cell_angle_beta 90.00
_cell_angle_gamma 90.00
_symmetry_space_group_name_H-M 'P 4/m m m'
_symmetry_Int_Tables_number 123
_symmetry_space_group_name_Hall '-P 4 2'
loop_
_atom_site_label
_atom_site_fract_x
_atom_site_fract_y
_atom_site_fract_z
Sc1 0.000 0.000 0.000
Re1 0.000 0.500 0.500
Pt1 0.500 0.500 0.000
Br1 0.500 0.500 0.500
```

---

# 8
A relaxed structure of CaTaIn2, computed with GGA-PBEsol.

Calculated values
electronic total energy = -39.95 eV per cell
total magnetization = 1.29 Bohr magnetons per cell
energy relative to the elements = 169 meV per atom

The structure in CIF format:
```
data_CaTaIn2
_chemical_formula_sum 'Ca2 Ta2 In4'
_cell_length_a 9.704
_cell_length_b 3.076
_cell_length_c 6.216
_cell_angle_alpha 90.00
_cell_angle_beta 96.99
_cell_angle_gamma 90.00
_symmetry_space_group_name_H-M 'C 1 2/m 1'
_symmetry_Int_Tables_number 12
_symmetry_space_group_name_Hall '-C 2y'
loop_
_atom_site_label
_atom_site_fract_x
_atom_site_fract_y
_atom_site_fract_z
Ca1 0.000 0.000 0.000
Ta1 0.000 0.500 0.500
In1 0.245 0.000 0.718
```

---

no.,N(E_F) (states/eV per cell)
1,5.3
2,9.8
3,15.0
4,4.4
5,7.1
6,3.4
7,5.0
8,7.2